First-principles (GGA+U) data for crystalline FeSbNF2 at its relaxed geometry, as listed in Alexandria.

## Properties
Fermi-level density of states (states/eV/atom): 0.4344
Energy above the lowest structure with this stoichiometry (meV per atom): 342
Symmetry: P4/mmm, No. 123

Cell: 4.413 4.413 4.288 Å, 90.00 90.00 90.00°
Element x y z (fractional)
Fe 0.500 0.500 0.500
F 0.000 0.500 0.000
F 0.500 0.000 0.000
Sb 0.000 0.000 0.000
N 0.000 0.000 0.500